1.
# TlSnAs2 (PBE, relaxed)
data_TlSnAs2
_chemical_formula_sum 'Tl1 Sn1 As2'
_cell_length_a 5.145
_cell_length_b 5.145
_cell_length_c 5.145
_cell_angle_alpha 60.00
_cell_angle_beta 60.00
_cell_angle_gamma 60.00
_space_group_name_H-M_alt 'P 1'
_space_group_IT_number 1
loop_
_space_group_symop_operation_xyz
'x,y,z'
loop_
_atom_site_label
_atom_site_fract_x
_atom_site_fract_y
_atom_site_fract_z
_atom_site_occupancy
As1 0.250 0.250 0.250 1
As2 0.750 0.750 0.750 1
Tl1 0.500 0.500 0.500 1
Sn1 0.000 0.000 0.000 1
# SG: No. 225
# Relative energy among the computed polymorphs (meV/atom): 212


2.
# TlSnAs (PBE, relaxed)
data_TlSnAs
_chemical_formula_sum 'Tl1 Sn1 As1'
_cell_length_a 7.913
_cell_length_b 4.091
_cell_length_c 4.091
_cell_angle_alpha 120.01
_cell_angle_beta 58.85
_cell_angle_gamma 121.16
_space_group_name_H-M_alt 'P 1'
_space_group_IT_number 1
loop_
_space_group_symop_operation_xyz
'x,y,z'
loop_
_atom_site_label
_atom_site_fract_x
_atom_site_fract_y
_atom_site_fract_z
_atom_site_occupancy
As1 0.564 0.251 0.503 1
Tl1 0.207 0.681 0.073 1
Sn1 0.785 0.065 0.689 1
# SG: No. 160
# Relative energy among the computed polymorphs (meV/atom): 0


3.
# TlSnAs2 (PBE, relaxed)
data_TlSnAs2
_chemical_formula_sum 'Tl1 Sn1 As2'
_cell_length_a 4.093
_cell_length_b 4.093
_cell_length_c 7.313
_cell_angle_alpha 73.75
_cell_angle_beta 73.75
_cell_angle_gamma 60.00
_space_group_name_H-M_alt 'P 1'
_space_group_IT_number 1
loop_
_space_group_symop_operation_xyz
'x,y,z'
loop_
_atom_site_label
_atom_site_fract_x
_atom_site_fract_y
_atom_site_fract_z
_atom_site_occupancy
As1 0.257 0.257 0.230 1
As2 0.743 0.743 0.770 1
Tl1 0.500 0.500 0.500 1
Sn1 0.000 0.000 0.000 1
# SG: No. 166
# Relative energy among the computed polymorphs (meV/atom): 0


4.
# TlV2SnAs (PBE, relaxed)
data_TlV2SnAs
_chemical_formula_sum 'Tl1 V2 Sn1 As1'
_cell_length_a 5.183
_cell_length_b 5.213
_cell_length_c 5.183
_cell_angle_alpha 90.00
_cell_angle_beta 90.00
_cell_angle_gamma 90.00
_space_group_name_H-M_alt 'P 1'
_space_group_IT_number 1
loop_
_space_group_symop_operation_xyz
'x,y,z'
loop_
_atom_site_label
_atom_site_fract_x
_atom_site_fract_y
_atom_site_fract_z
_atom_site_occupancy
As1 0.000 0.500 0.000 1
Tl1 0.000 0.000 0.000 1
Sn1 0.500 0.500 0.500 1
V1 0.000 0.000 0.500 1
V2 0.500 0.000 0.000 1
# SG: No. 123


5.
# YTlSnAs2 (PBE, relaxed)
data_YTlSnAs2
_chemical_formula_sum 'Y1 Tl1 Sn1 As2'
_cell_length_a 5.291
_cell_length_b 5.510
_cell_length_c 5.291
_cell_angle_alpha 90.00
_cell_angle_beta 90.00
_cell_angle_gamma 90.00
_space_group_name_H-M_alt 'P 1'
_space_group_IT_number 1
loop_
_space_group_symop_operation_xyz
'x,y,z'
loop_
_atom_site_label
_atom_site_fract_x
_atom_site_fract_y
_atom_site_fract_z
_atom_site_occupancy
Y1 0.500 0.500 0.500 1
As1 0.000 0.000 0.500 1
As2 0.500 0.000 0.000 1
Tl1 0.000 0.000 0.000 1
Sn1 0.000 0.500 0.000 1
# SG: No. 123


6.
# TlZnSnAs2 (PBE, relaxed)
data_TlZnSnAs2
_chemical_formula_sum 'Tl2 Zn2 Sn2 As4'
_cell_length_a 4.169
_cell_length_b 7.979
_cell_length_c 8.841
_cell_angle_alpha 71.59
_cell_angle_beta 76.36
_cell_angle_gamma 74.86
_space_group_name_H-M_alt 'P 1'
_space_group_IT_number 1
loop_
_space_group_symop_operation_xyz
'x,y,z'
loop_
_atom_site_label
_atom_site_fract_x
_atom_site_fract_y
_atom_site_fract_z
_atom_site_occupancy
Tl1 0.826 0.743 0.606 1
Tl2 0.174 0.257 0.394 1
Zn1 0.058 0.051 0.833 1
Zn2 0.942 0.949 0.167 1
Sn1 0.392 0.401 0.816 1
Sn2 0.608 0.599 0.184 1
As1 0.390 0.887 0.334 1
As2 0.610 0.113 0.666 1
As3 0.849 0.279 0.022 1
As4 0.151 0.721 0.978 1
# SG: No. 12


7.
# ZrTl2SnAs (PBE, relaxed)
data_ZrTl2SnAs
_chemical_formula_sum 'Zr1 Tl2 Sn1 As1'
_cell_length_a 5.516
_cell_length_b 5.628
_cell_length_c 5.516
_cell_angle_alpha 90.00
_cell_angle_beta 90.00
_cell_angle_gamma 90.00
_space_group_name_H-M_alt 'P 1'
_space_group_IT_number 1
loop_
_space_group_symop_operation_xyz
'x,y,z'
loop_
_atom_site_label
_atom_site_fract_x
_atom_site_fract_y
_atom_site_fract_z
_atom_site_occupancy
As1 0.500 0.500 0.500 1
Tl1 0.000 0.000 0.500 1
Tl2 0.500 0.000 0.000 1
Sn1 0.000 0.000 0.000 1
Zr1 0.000 0.500 0.000 1
# SG: No. 123


8.
# Tm8Sn2As (PBE, relaxed)
data_Tm8Sn2As
_chemical_formula_sum 'Tm8 Sn2 As1'
_cell_length_a 4.984
_cell_length_b 6.703
_cell_length_c 9.274
_cell_angle_alpha 86.57
_cell_angle_beta 105.59
_cell_angle_gamma 90.00
_space_group_name_H-M_alt 'P 1'
_space_group_IT_number 1
loop_
_space_group_symop_operation_xyz
'x,y,z'
loop_
_atom_site_label
_atom_site_fract_x
_atom_site_fract_y
_atom_site_fract_z
_atom_site_occupancy
Tm1 0.407 0.424 0.815 1
Tm2 0.654 0.078 0.308 1
Tm3 0.784 0.644 0.568 1
Tm4 0.026 0.239 0.052 1
Tm5 0.216 0.356 0.432 1
Tm6 0.346 0.922 0.692 1
Tm7 0.593 0.576 0.185 1
Tm8 0.974 0.761 0.948 1
Sn1 0.829 0.184 0.658 1
Sn2 0.171 0.816 0.342 1
As1 0.500 0.000 0.000 1
# SG: No. 12


Number 1: formation enthalpy at 0 K 0.26 eV per atom. Number 2: formation enthalpy at 0 K -0.07 eV per atom. Number 3: formation enthalpy at 0 K 0.04 eV per atom. Number 4: formation enthalpy at 0 K 1.43 eV per atom. Number 5: formation enthalpy at 0 K 0.58 eV per atom. Number 6: formation enthalpy at 0 K -0.03 eV per atom. Number 7: formation enthalpy at 0 K 0.85 eV per atom. Number 8: formation enthalpy at 0 K -0.50 eV per atom.